# Y2ScCu, PBEsol geometry, DFT meta-GGA SCAN
# Formation enthalpy at 0 K: -96 meV/atom
# Space-group type: P4/mmm, No. 123
data_Y2ScCu
_symmetry_space_group_name_H-M 'P 1'
_symmetry_Int_Tables_number 1
_cell_length_a 3.403
_cell_length_b 3.403
_cell_length_c 8.199
_cell_angle_alpha 90.00
_cell_angle_beta 90.00
_cell_angle_gamma 90.00
loop_
_symmetry_equiv_pos_as_xyz
'x,y,z'
loop_
_atom_site_label
_atom_site_fract_x
_atom_site_fract_y
_atom_site_fract_z
Y1 0.000 0.000 0.790
Y2 0.000 0.000 0.210
Sc1 0.500 0.500 0.500
Cu1 0.500 0.500 0.000

***

# YScCu2, PBEsol geometry, DFT meta-GGA SCAN
# Formation enthalpy at 0 K: -300 meV/atom
# Space-group type: Fm-3m, No. 225
data_YScCu2
_symmetry_space_group_name_H-M 'P 1'
_symmetry_Int_Tables_number 1
_cell_length_a 4.694
_cell_length_b 4.694
_cell_length_c 4.694
_cell_angle_alpha 60.00
_cell_angle_beta 60.00
_cell_angle_gamma 60.00
loop_
_symmetry_equiv_pos_as_xyz
'x,y,z'
loop_
_atom_site_label
_atom_site_fract_x
_atom_site_fract_y
_atom_site_fract_z
Cu1 0.750 0.750 0.750
Cu2 0.250 0.250 0.250
Y1 0.000 0.000 0.000
Sc1 0.500 0.500 0.500

***

# YScCu2, PBEsol geometry, DFT meta-GGA SCAN
# Formation enthalpy at 0 K: -9 meV/atom
# Space-group type: I-4m2, No. 119
data_YScCu2
_symmetry_space_group_name_H-M 'P 1'
_symmetry_Int_Tables_number 1
_cell_length_a 3.981
_cell_length_b 3.981
_cell_length_c 5.370
_cell_angle_alpha 111.76
_cell_angle_beta 111.76
_cell_angle_gamma 90.00
loop_
_symmetry_equiv_pos_as_xyz
'x,y,z'
loop_
_atom_site_label
_atom_site_fract_x
_atom_site_fract_y
_atom_site_fract_z
Cu1 0.750 0.250 0.500
Cu2 0.000 0.000 0.000
Y1 0.250 0.750 0.500
Sc1 0.500 0.500 0.000

***

# YSc2Cu, PBEsol geometry, DFT meta-GGA SCAN
# Formation enthalpy at 0 K: -103 meV/atom
# Space-group type: P4/mmm, No. 123
data_YSc2Cu
_symmetry_space_group_name_H-M 'P 1'
_symmetry_Int_Tables_number 1
_cell_length_a 3.247
_cell_length_b 3.247
_cell_length_c 8.283
_cell_angle_alpha 90.00
_cell_angle_beta 90.00
_cell_angle_gamma 90.00
loop_
_symmetry_equiv_pos_as_xyz
'x,y,z'
loop_
_atom_site_label
_atom_site_fract_x
_atom_site_fract_y
_atom_site_fract_z
Sc1 0.000 0.000 0.691
Sc2 0.000 0.000 0.309
Cu1 0.500 0.500 0.500
Y1 0.500 0.500 0.000

***

# Y2ScCu, PBEsol geometry, DFT meta-GGA SCAN
# Formation enthalpy at 0 K: 102 meV/atom
# Space-group type: R-3m, No. 166
data_Y2ScCu
_symmetry_space_group_name_H-M 'P 1'
_symmetry_Int_Tables_number 1
_cell_length_a 3.443
_cell_length_b 3.443
_cell_length_c 9.747
_cell_angle_alpha 79.83
_cell_angle_beta 79.83
_cell_angle_gamma 60.00
loop_
_symmetry_equiv_pos_as_xyz
'x,y,z'
loop_
_atom_site_label
_atom_site_fract_x
_atom_site_fract_y
_atom_site_fract_z
Y1 0.239 0.239 0.284
Y2 0.761 0.761 0.716
Sc1 0.000 0.000 0.000
Cu1 0.500 0.500 0.500

***

# YScCu2, PBEsol geometry, DFT meta-GGA SCAN
# Formation enthalpy at 0 K: -319 meV/atom
# Space-group type: P4/mmm, No. 123
data_YScCu2
_symmetry_space_group_name_H-M 'P 1'
_symmetry_Int_Tables_number 1
_cell_length_a 3.312
_cell_length_b 3.312
_cell_length_c 6.638
_cell_angle_alpha 90.00
_cell_angle_beta 90.00
_cell_angle_gamma 90.00
loop_
_symmetry_equiv_pos_as_xyz
'x,y,z'
loop_
_atom_site_label
_atom_site_fract_x
_atom_site_fract_y
_atom_site_fract_z
Y1 0.500 0.500 0.000
Sc1 0.500 0.500 0.500
Cu1 0.000 0.000 0.281
Cu2 0.000 0.000 0.719

***

# Sc2ZnCu2, PBEsol geometry, DFT meta-GGA SCAN
# Formation enthalpy at 0 K: -102 meV/atom
# Space-group type: I4/mmm, No. 139
data_Sc2ZnCu2
_symmetry_space_group_name_H-M 'P 1'
_symmetry_Int_Tables_number 1
_cell_length_a 4.997
_cell_length_b 4.997
_cell_length_c 4.997
_cell_angle_alpha 90.25
_cell_angle_beta 119.86
_cell_angle_gamma 119.86
loop_
_symmetry_equiv_pos_as_xyz
'x,y,z'
loop_
_atom_site_label
_atom_site_fract_x
_atom_site_fract_y
_atom_site_fract_z
Cu1 0.000 0.347 0.347
Cu2 0.000 0.653 0.653
Sc1 0.500 0.250 0.750
Sc2 0.500 0.750 0.250
Zn1 0.000 0.000 0.000

***

# Sc2ZnCu, PBEsol geometry, DFT meta-GGA SCAN
# Formation enthalpy at 0 K: -230 meV/atom
# Space-group type: P4mm, No. 99
data_Sc2ZnCu
_symmetry_space_group_name_H-M 'P 1'
_symmetry_Int_Tables_number 1
_cell_length_a 3.278
_cell_length_b 3.278
_cell_length_c 6.534
_cell_angle_alpha 90.00
_cell_angle_beta 90.00
_cell_angle_gamma 90.00
loop_
_symmetry_equiv_pos_as_xyz
'x,y,z'
loop_
_atom_site_label
_atom_site_fract_x
_atom_site_fract_y
_atom_site_fract_z
Sc1 0.500 0.500 0.285
Sc2 0.000 0.000 0.959
Zn1 0.000 0.000 0.532
Cu1 0.500 0.500 0.723

***

> The highest formation enthalpy at 0 K belongs to which entry?

number 5